one | VASP calculation (PBE) on La2YPa after structural relaxation.

Values from the calculation:
total magnetic moment	0.00	μB per formula unit
space group	R-3m
DOS(E_F)	5.82	states/eV per cell

a = 12.7684 Å, b = 12.7684 Å, c = 12.7684 Å
α = 15.22°, β = 15.22°, γ = 15.22°
Last column: nearest neighbours and their distance in Å.
Positions (direct):
La (0.0835, 0.0835, 0.0835)  1 Pa 3.16, 6 La 3.38
La (0.9165, 0.9165, 0.9165)  1 Pa 3.16, 6 La 3.38
Y (0.5000, 0.5000, 0.5000)  6 Y 3.38, 6 La 3.70
Pa (0.0000, 0.0000, 0.0000)  2 La 3.16, 6 Pa 3.38

---

two | VASP calculation (PBE) on La2YPa after structural relaxation.

Values from the calculation:
total magnetic moment	0.00	μB per formula unit
space group	P4/mmm
DOS(E_F)	6.66	states/eV per cell

a = 3.4720 Å, b = 3.4720 Å, c = 10.5103 Å
α = 90.00°, β = 90.00°, γ = 90.00°
Last column: nearest neighbours and their distance in Å.
Positions (direct):
La (0.0000, 0.0000, 0.2268)  4 Pa 3.42, 4 La 3.47, 4 Y 3.78
La (0.0000, 0.0000, 0.7732)  4 Pa 3.42, 4 La 3.47, 4 Y 3.78
Y (0.5000, 0.5000, 0.5000)  4 Y 3.47, 8 La 3.78
Pa (0.5000, 0.5000, 0.0000)  8 La 3.42, 4 Pa 3.47

---

Going by the energies, two is most stable and the next is 160 meV/atom up.

---

one | VASP calculation (PBE) on LaYPa after structural relaxation.

Values from the calculation:
total magnetic moment	0.00	μB per formula unit
space group	Immm
DOS(E_F)	11.24	states/eV per cell

a = 9.5839 Å, b = 9.5839 Å, c = 9.5839 Å
α = 160.48°, β = 141.04°, γ = 43.94°
Last column: nearest neighbours and their distance in Å.
Positions (direct):
La (0.2419, 0.0000, 0.2419)  4 La 3.09-3.30, 4 Pa 3.29
La (0.7581, 0.0000, 0.7581)  4 La 3.09-3.30, 4 Pa 3.29
Y (0.1886, 0.1886, 0.0000)  1 Pa 3.19, 2 Y 3.25
Y (0.8114, 0.8114, 0.0000)  1 Pa 3.19, 2 Y 3.25
Pa (0.3682, 0.3682, 0.0000)  1 Y 3.19, 2 Pa 3.25, 4 La 3.29
Pa (0.6318, 0.6318, 0.0000)  1 Y 3.19, 2 Pa 3.25, 4 La 3.29

---

two | VASP calculation (PBE) on LaYPa after structural relaxation.

Values from the calculation:
total magnetic moment	0.00	μB per formula unit
space group	I4mm
DOS(E_F)	4.52	states/eV per cell

a = 8.2304 Å, b = 8.2304 Å, c = 8.2304 Å
α = 156.07°, β = 156.07°, γ = 34.10°
Last column: nearest neighbours and their distance in Å.
Positions (direct):
La (0.0000, 0.0000, 0.0000)  4 Pa 3.41, 4 La 3.41
Y (0.6956, 0.6956, 0.0000)  4 Pa 3.39, 4 Y 3.41
Pa (0.3471, 0.3471, 0.0000)  4 Y 3.39, 4 La 3.41, 4 Pa 3.41

---

Going by the energies, two is most stable and the next is 310 meV/atom up.